## LiAgAs (GGA-PBE)

Data for crystalline LiAgAs at its relaxed geometry.

Excess energy over the best structure of this formula in the dataset = 47 meV/atom
Raw total energy = -0.124 hartree per atom
ΔH_f (0 K) = -0.2338 eV/atom
Fermi-level density of states = 2.40 states/eV per cell

abc: 4.3365 4.3365 4.3365
angles: 60.00 60.00 60.00
Atoms (fractional coordinates):
Li (0.0000, 0.0000, 0.0000)
Ag (0.5000, 0.5000, 0.5000)
As (0.7500, 0.7500, 0.7500)